# LiZr2Pd

An optimized crystal structure of LiZr2Pd (GGA-PBE, the Alexandria database).

Cell and atoms, written as POSCAR:
```
LiZr2Pd
1.0
-0.2644 2.9009 2.5820
0.0473 -2.9003 3.2633
4.3558 0.2530 0.1618
Zr Pd Li
2 1 1
Direct
0.0000 0.0000 0.5000 Zr
0.0000 0.5000 0.0000 Zr
0.5000 0.0000 0.0000 Pd
0.5000 0.5000 0.5000 Li
```

DOS at the Fermi energy = 3.4 states/eV per cell
ΔH_f (0 K) = -0.77 eV per formula unit